P.
{
  "formula": "YScIO2",
  "functional": "PBE",
  "state": "relaxed",
  "spacegroup": "P4/mmm",
  "total_magnetization_mub_per_cell": 0.00,
  "lattice": [[-0.5005, -4.1293, -0.5204], [3.9668, -0.3146, -1.3184], [1.6718, -0.8624, 5.2359]],
  "species": ["I", "Y", "Sc", "O", "O"],
  "fractional_positions": [[0.0000, 0.0000, 0.5000], [0.5000, 0.5000, 0.5000], [0.0000, 0.0000, 0.0000], [0.0000, 0.5000, 0.0000], [0.5000, 0.0000, 0.0000]]
}


Q.
{
  "formula": "YScIO2",
  "functional": "PBE",
  "state": "relaxed",
  "spacegroup": "P4/mmm",
  "total_magnetization_mub_per_cell": 0.82,
  "lattice": [[-2.8514, -2.5688, -2.0937], [0.7883, -3.2085, 2.8630], [-4.3480, 2.0124, 3.4525]],
  "species": ["I", "Y", "Sc", "O", "O"],
  "fractional_positions": [[0.0000, 0.0000, 0.5000], [0.0000, 0.0000, 0.0000], [0.5000, 0.5000, 0.5000], [0.0000, 0.5000, 0.0000], [0.5000, 0.0000, 0.0000]]
}


Which of them is the least stable? Correct choice: Q.


P.
{
  "formula": "SeI2O2",
  "functional": "PBE",
  "state": "relaxed",
  "spacegroup": "P4/mbm",
  "total_magnetization_mub_per_cell": 0.00,
  "lattice": [[8.6809, 0.0000, 0.0000], [0.0000, 8.6809, 0.0000], [0.0000, 0.0000, 2.8793]],
  "species": ["I", "I", "I", "I", "O", "O", "O", "O", "Se", "Se"],
  "fractional_positions": [[0.2902, 0.7902, 0.0000], [0.7902, 0.7098, 0.0000], [0.7098, 0.2098, 0.0000], [0.2098, 0.2902, 0.0000], [0.1600, 0.6600, 0.5000], [0.6600, 0.8400, 0.5000], [0.8400, 0.3400, 0.5000], [0.3400, 0.1600, 0.5000], [0.0000, 0.0000, 0.0000], [0.5000, 0.5000, 0.0000]]
}


Q.
{
  "formula": "SeI2O2",
  "functional": "PBE",
  "state": "relaxed",
  "spacegroup": "I4/mmm",
  "total_magnetization_mub_per_cell": 0.00,
  "lattice": [[-2.0901, -3.2720, 0.2123], [2.6052, -1.5043, 2.4636], [-2.9353, -0.0365, 6.1503]],
  "species": ["I", "I", "O", "O", "Se"],
  "fractional_positions": [[0.3631, 0.3631, 0.2739], [0.6369, 0.6369, 0.7261], [0.7500, 0.2500, 0.5000], [0.2500, 0.7500, 0.5000], [0.0000, 0.0000, 0.0000]]
}


Which of them is the least stable? Correct choice: Q.